No. 1
VASP calculation (PBE) on crystalline TlCuPdS3 at its relaxed geometry.

Computed properties:
Volume in A^3/atom: 21.0
Space-group type: P2_1/m (11)
Total energy in eV/atom: -4.15
Energy relative to the lowest polymorph listed for this composition in meV/atom: 18

Cell: 7.4783 3.7238 9.6718 Å, 90.00 110.47 90.00°
Positions (direct):
S 0.1137 0.2500 0.8376
S 0.8863 0.7500 0.1624
S 0.7483 0.2500 0.4218
S 0.4473 0.7500 0.1167
S 0.5527 0.2500 0.8833
S 0.2517 0.7500 0.5782
Pd 0.6694 0.2500 0.1497
Pd 0.3306 0.7500 0.8503
Tl 0.2598 0.2500 0.3029
Tl 0.7402 0.7500 0.6971
Cu 0.9288 0.7500 0.4074
Cu 0.0712 0.2500 0.5926

No. 2
VASP calculation (PBE) on crystalline TlCuPdS3 at its relaxed geometry.

Computed properties:
Volume in A^3/atom: 20.5
Space-group type: Pnma (62)
Total energy in eV/atom: -4.17
Energy relative to the lowest polymorph listed for this composition in meV/atom: 0

Cell: 10.6092 3.7058 12.4973 Å, 90.00 90.00 90.00°
Positions (direct):
Cu 0.2565 0.0000 0.7953
Cu 0.2435 0.0000 0.2953
Cu 0.7565 0.5000 0.7047
Cu 0.7435 0.5000 0.2047
Tl 0.5007 0.0000 0.6470
Tl 0.9993 0.0000 0.1470
Tl 0.0007 0.5000 0.8530
Tl 0.4993 0.5000 0.3530
S 0.7308 0.0000 0.3024
S 0.7692 0.0000 0.8024
S 0.5092 0.5000 0.8932
S 0.2308 0.5000 0.1976
S 0.0092 0.0000 0.6068
S 0.7605 0.5000 0.0302
S 0.2605 0.0000 0.4698
S 0.2395 0.0000 0.9698
S 0.4908 0.0000 0.1068
S 0.9908 0.5000 0.3932
S 0.2692 0.5000 0.6976
S 0.7395 0.5000 0.5302
Pd 0.8617 0.0000 0.4594
Pd 0.3617 0.5000 0.0406
Pd 0.6383 0.0000 0.9594
Pd 0.1383 0.5000 0.5406

No. 3
VASP calculation (PBE) on crystalline CuSbPd at its relaxed geometry.

Computed properties:
Volume in A^3/atom: 18.5
Space-group type: F-43m (216)
Total energy in eV/atom: -4.48

Cell: 4.2806 4.2806 4.2806 Å, 60.00 60.00 60.00°
Positions (direct):
Pd 0.2500 0.2500 0.2500
Cu 0.0000 0.0000 0.0000
Sb 0.7500 0.7500 0.7500

No. 4
VASP calculation (PBE) on crystalline CuSb2Pd at its relaxed geometry.

Computed properties:
Volume in A^3/atom: 20.4
Space-group type: F-43m (216)
Total energy in eV/atom: -4.07

Cell: 4.8661 4.8661 4.8661 Å, 60.00 60.00 60.00°
Positions (direct):
Cu 0.2500 0.2500 0.2500
Sb 0.7500 0.7500 0.7500
Sb 0.0000 0.0000 0.0000
Pd 0.5000 0.5000 0.5000

No. 5
VASP calculation (PBE) on crystalline CuSb2Pd at its relaxed geometry.

Computed properties:
Volume in A^3/atom: 26.1
Space-group type: I-42d (122)
Total energy in eV/atom: -4.15

Cell: 7.2889 7.2889 7.2889 Å, 132.17 132.17 69.95°
Positions (direct):
Pd 0.5000 0.5000 0.0000
Pd 0.2500 0.7500 0.5000
Cu 0.7500 0.2500 0.5000
Cu 0.0000 0.0000 0.0000
Sb 0.3750 0.8824 0.0074
Sb 0.1176 0.1250 0.4926
Sb 0.6324 0.6250 0.5074
Sb 0.8750 0.3676 0.9926

No. 6
VASP calculation (PBE) on crystalline CuSbPdSe3 at its relaxed geometry.

Computed properties:
Volume in A^3/atom: 23.0
Space-group type: P2_12_12_1 (19)
Total energy in eV/atom: -4.20

Cell: 5.1435 8.0269 13.3924 Å, 90.00 90.00 90.00°
Positions (direct):
Pd 0.4865 0.8605 0.2485
Pd 0.9865 0.6395 0.7515
Pd 0.5135 0.3605 0.2515
Pd 0.0135 0.1395 0.7485
Se 0.2583 0.8690 0.4135
Se 0.2275 0.6404 0.9152
Se 0.2725 0.3596 0.4152
Se 0.7491 0.3843 0.7965
Se 0.7275 0.8596 0.0848
Se 0.7725 0.1404 0.5848
Se 0.2509 0.8843 0.7035
Se 0.2491 0.1157 0.2035
Se 0.7417 0.3690 0.0865
Se 0.7509 0.6157 0.2965
Se 0.2417 0.1310 0.9135
Se 0.7583 0.6310 0.5865
Cu 0.4685 0.3895 0.9411
Cu 0.5315 0.8895 0.5589
Cu 0.0315 0.6105 0.4411
Cu 0.9685 0.1105 0.0589
Sb 0.5780 0.8756 0.8651
Sb 0.9219 0.1244 0.3651
Sb 0.4219 0.3756 0.6349
Sb 0.0781 0.6244 0.1349

No. 7
VASP calculation (PBE) on crystalline SrCuSb2Pd at its relaxed geometry.

Computed properties:
Volume in A^3/atom: 23.4
Space-group type: P4/nmm (129)
Total energy in eV/atom: -4.36
Energy relative to the lowest polymorph listed for this composition in meV/atom: 19

Cell: 4.6991 4.6991 10.5828 Å, 90.00 90.00 90.00°
Positions (direct):
Sr 0.5000 0.0000 0.2410
Sr 0.0000 0.5000 0.7590
Sb 0.0000 0.5000 0.1283
Sb 0.5000 0.5000 0.5000
Sb 0.0000 0.0000 0.5000
Sb 0.5000 0.0000 0.8717
Pd 0.5000 0.5000 0.0000
Pd 0.0000 0.0000 0.0000
Cu 0.0000 0.5000 0.3720
Cu 0.5000 0.0000 0.6280

No. 8
VASP calculation (PBE) on crystalline SrCuSb2Pd at its relaxed geometry.

Computed properties:
Volume in A^3/atom: 23.5
Space-group type: P4/nmm (129)
Total energy in eV/atom: -4.38
Energy relative to the lowest polymorph listed for this composition in meV/atom: 0

Cell: 4.6196 4.6196 11.0150 Å, 90.00 90.00 90.00°
Positions (direct):
Sb 0.5000 0.5000 0.5000
Sb 0.5000 0.0000 0.1261
Sb 0.0000 0.0000 0.5000
Sb 0.0000 0.5000 0.8739
Pd 0.0000 0.5000 0.6319
Pd 0.5000 0.0000 0.3681
Sr 0.0000 0.5000 0.2403
Sr 0.5000 0.0000 0.7597
Cu 0.0000 0.0000 0.0000
Cu 0.5000 0.5000 0.0000

- Which of these has the lowest volume?
  CuSbPd

- Which of these has the highest total energy?
  number 4